! BeSe3Cl | Alexandria via LeMat-Bulk | PBE | relaxed; values from VASP
&SYSTEM
  ibrav = 0, nat = 5, ntyp = 3
/
ATOMIC_SPECIES
Be 9.01 Be.upf
Se 78.96 Se.upf
Cl 35.45 Cl.upf
CELL_PARAMETERS angstrom
4.9450 0.0000 0.0000
0.0000 4.9450 0.0000
0.0000 0.0000 4.9450
ATOMIC_POSITIONS angstrom
Be 0.0000 0.0000 0.0000
Se 0.0000 2.4725 2.4725
Se 2.4725 0.0000 2.4725
Se 2.4725 2.4725 0.0000
Cl 2.4725 2.4725 2.4725
! Raw formation energy   6.3 eV per formula unit
! Energy above the lowest structure with this stoichiometry   0.8971 eV per atom